Record 1
Compound: PrNdTm6
Source: Alexandria via LeMat-Bulk
Functional: GGA-PBE
Structure: optimized geometry

## Properties
volume	31.715	A^3/atom
relative energy among the computed polymorphs	0	meV per atom
ΔH_f (0 K)	0.010	eV/atom

POSCAR file:
```
PrNdTm6
1.0
5.658 0.000 0.000
0.000 6.345 -3.393
0.000 -0.234 7.192
Tm Pr Nd
6 1 1
Cartesian
0.000 3.615 1.000
2.829 2.646 -0.813
2.829 5.669 1.066
0.000 3.498 4.633
2.829 5.786 -2.494
0.000 0.408 2.713
2.829 2.507 2.782
0.000 0.315 6.309
```

***

Record 2
Compound: Pr6Nd16Tm7
Source: Alexandria via LeMat-Bulk
Functional: GGA-PBE
Structure: optimized geometry

## Properties
volume	35.417	A^3/atom
ΔH_f (0 K)	0.196	eV/atom

POSCAR file:
```
Pr6Nd16Tm7
1.0
-8.838 -5.334 -4.659
0.819 -10.947 -2.785
-5.682 -7.793 5.936
Nd Tm Pr
16 7 6
Cartesian
-10.183 -11.616 -3.390
-12.453 -15.527 0.105
-9.118 -17.145 -4.370
-12.033 -21.144 -1.324
-5.461 -10.944 -4.641
-4.583 -6.929 2.863
-8.960 -15.743 -0.985
-3.518 -12.458 1.883
-1.668 -2.930 -0.183
-6.202 -5.667 -2.574
-9.464 -9.002 0.729
-8.240 -13.130 3.134
-1.248 -8.547 -1.612
-4.237 -15.072 -2.236
-7.499 -18.407 1.067
-4.741 -8.331 -0.522
-7.260 -6.564 0.639
-2.432 -9.370 1.576
-4.009 -8.140 -3.722
-2.841 -3.897 2.968
0.000 0.000 0.000
0.409 -5.473 -1.392
-4.419 -2.667 -2.329
-6.367 -10.281 2.014
-7.673 -9.264 -2.369
-7.334 -13.793 -3.521
-10.023 -12.488 0.087
-6.028 -14.810 0.862
-3.677 -11.586 -1.594
```

***

Record 3
Compound: Pr3Nd6Y2Tm
Source: Alexandria via LeMat-Bulk
Functional: GGA-PBE
Structure: optimized geometry

## Properties
volume	34.575	A^3/atom
ΔH_f (0 K)	0.015	eV/atom

POSCAR file:
```
Pr3Nd6Y2Tm
1.0
-0.862 -2.151 -5.911
-2.795 -2.935 4.887
-8.271 8.755 -0.845
Nd Y Tm Pr
6 2 1 3
Cartesian
-4.770 -1.668 -0.975
-2.613 1.015 -2.254
-3.255 0.754 1.332
-7.158 5.337 -0.894
-8.674 2.915 -3.200
-9.315 2.655 0.385
-1.506 -2.412 -2.312
-2.151 -2.674 1.288
0.000 0.000 0.000
-6.609 1.573 2.666
-5.320 2.096 -4.535
-5.964 1.835 -0.934
```

***

Record 4
Compound: PrNd2Y4Tm2
Source: Alexandria via LeMat-Bulk
Functional: GGA-PBE
Structure: optimized geometry

## Properties
volume	32.895	A^3/atom
ΔH_f (0 K)	0.009	eV/atom

POSCAR file:
```
PrNd2Y4Tm2
1.0
-0.595 -1.016 3.435
9.531 0.724 -0.054
-4.718 8.241 1.620
Nd Tm Pr Y
2 2 1 4
Cartesian
4.631 2.380 3.426
-0.413 5.569 1.576
2.799 -0.417 2.281
1.419 8.367 2.721
0.000 0.000 0.000
5.732 5.701 2.679
2.367 5.124 3.845
1.851 2.825 1.156
-1.514 2.248 2.322
```

***

Record 5
Compound: Pr2Nd2YTm
Source: Alexandria via LeMat-Bulk
Functional: GGA-PBE
Structure: optimized geometry

## Properties
volume	34.054	A^3/atom
ΔH_f (0 K)	0.055	eV/atom

POSCAR file:
```
Pr2Nd2YTm
1.0
-4.892 -0.013 -3.007
2.123 -5.891 -3.426
-4.298 -5.629 7.016
Y Tm Pr Nd
2 2 4 4
Cartesian
-2.132 -2.859 3.481
-1.072 -5.806 1.770
-4.733 -5.237 2.240
-2.301 -6.388 -1.711
-0.210 -2.509 0.353
-1.369 -2.997 -3.243
-1.933 -9.101 3.185
-6.728 -5.681 5.487
0.905 -5.383 -1.448
-3.048 -6.225 4.986
-3.709 -8.231 0.588
-3.325 -3.393 -0.058
```

***

Record 6
Compound: PrNdY2Tm5
Source: Alexandria via LeMat-Bulk
Functional: GGA-PBE
Structure: optimized geometry

## Properties
volume	32.175	A^3/atom
ΔH_f (0 K)	0.286	eV/atom

POSCAR file:
```
PrNdY2Tm5
1.0
8.781 0.000 0.000
0.000 8.781 0.000
-4.391 -4.391 7.511
Tm Y Nd Pr
10 4 2 2
Cartesian
1.799 6.189 2.020
6.982 2.592 2.020
6.189 6.982 2.020
2.592 -1.799 5.491
0.000 0.000 0.000
2.592 1.799 2.020
1.799 2.592 5.491
-2.592 1.799 5.491
4.391 4.391 0.000
-1.799 -2.592 5.491
5.410 1.020 0.000
1.020 3.371 0.000
3.371 7.762 0.000
7.762 5.410 0.000
4.391 4.391 3.756
0.000 0.000 3.756
4.391 0.000 3.756
0.000 4.391 3.756
```

***

Record 7
Compound: Pr2Nd2YTm2
Source: Alexandria via LeMat-Bulk
Functional: GGA-PBE
Structure: optimized geometry

## Properties
volume	33.590	A^3/atom
ΔH_f (0 K)	0.021	eV/atom

POSCAR file:
```
Pr2Nd2YTm2
1.0
-4.771 -1.295 -1.348
4.153 -0.274 -4.693
1.195 -7.456 2.931
Nd Pr Y Tm
2 2 1 2
Cartesian
1.021 -3.463 -0.288
-0.444 -5.562 -2.823
-1.272 -6.146 0.666
1.849 -2.879 -3.776
0.000 0.000 0.000
2.035 -6.939 -0.539
-1.459 -2.086 -2.572
```

***

Record 8
Compound: Pr6NdY2Tm
Source: Alexandria via LeMat-Bulk
Functional: GGA-PBE
Structure: optimized geometry

## Properties
volume	35.056	A^3/atom
ΔH_f (0 K)	0.114	eV/atom

POSCAR file:
```
Pr6NdY2Tm
1.0
9.207 -1.995 -2.070
0.931 8.767 -1.962
0.931 -2.286 8.689
Pr Nd Y Tm
12 2 4 2
Cartesian
5.955 5.319 -1.667
9.717 5.352 -1.633
2.252 4.530 -1.467
8.816 -0.044 6.123
1.352 -0.865 6.289
6.856 -2.631 3.437
8.905 -0.374 2.117
2.164 4.861 2.539
4.301 3.127 0.740
5.113 -0.832 6.323
4.213 7.118 1.219
6.767 1.360 3.916
7.836 -3.415 6.782
3.233 7.902 -2.126
0.941 2.039 1.092
5.544 0.018 1.043
10.128 2.447 3.564
5.525 4.469 3.613
7.836 2.715 0.876
3.233 1.772 3.780
```

***

Record 9
Compound: PrNd2Y2Tm2
Source: Alexandria via LeMat-Bulk
Functional: GGA-PBE
Structure: optimized geometry

## Properties
volume	33.553	A^3/atom
ΔH_f (0 K)	0.088	eV/atom

POSCAR file:
```
PrNd2Y2Tm2
1.0
-0.102 -2.772 2.193
2.648 4.612 3.101
-8.445 5.373 6.398
Pr Y Tm Nd
1 2 2 2
Cartesian
-4.223 2.686 3.199
-4.175 7.064 8.734
-1.724 0.149 2.958
-1.704 2.333 5.720
-4.196 4.879 5.972
0.985 2.569 3.293
-6.884 4.643 8.399
```

***

Record 10
Compound: Pr2Nd3Y6Tm
Source: Alexandria via LeMat-Bulk
Functional: GGA-PBE
Structure: optimized geometry

## Properties
volume	33.277	A^3/atom
ΔH_f (0 K)	0.012	eV/atom

POSCAR file:
```
Pr2Nd3Y6Tm
1.0
6.268 0.000 0.006
-3.132 5.429 0.006
-1.052 -1.821 11.729
Y Nd Pr Tm
6 3 2 1
Cartesian
-0.007 -0.013 8.803
3.128 1.807 8.814
0.002 3.612 8.814
2.082 -0.004 2.926
2.091 3.621 2.938
-1.044 1.801 2.926
4.173 -0.004 5.870
1.042 1.804 5.870
-2.089 3.613 5.870
0.004 3.618 0.006
3.132 1.812 0.006
0.000 0.000 0.000
```

***

Record 11
Compound: Pr6Nd2Y3Tm
Source: Alexandria via LeMat-Bulk
Functional: GGA-PBE
Structure: optimized geometry

## Properties
volume	34.414	A^3/atom
ΔH_f (0 K)	0.010	eV/atom

POSCAR file:
```
Pr6Nd2Y3Tm
1.0
6.349 -0.002 0.003
-3.174 5.498 0.003
-1.062 -1.839 11.830
Pr Nd Y Tm
6 2 3 1
Cartesian
-0.006 -0.011 8.854
2.119 3.669 2.982
2.106 -0.002 2.975
0.007 3.660 8.861
3.167 1.835 8.861
-1.054 1.823 2.975
-0.002 3.666 0.003
3.176 1.831 0.003
4.232 -0.005 5.918
-2.120 3.663 5.918
1.056 1.829 5.918
0.000 0.000 0.000
```

***

Record 12
Compound: PrNd2Y5Tm
Source: Alexandria via LeMat-Bulk
Functional: GGA-PBE
Structure: optimized geometry

## Properties
volume	32.931	A^3/atom
ΔH_f (0 K)	0.246	eV/atom

POSCAR file:
```
PrNd2Y5Tm
1.0
-4.742 -7.084 1.334
0.400 -1.853 -8.418
8.812 0.257 4.784
Y Nd Pr Tm
10 4 2 2
Cartesian
-2.171 -4.469 -3.542
-1.790 -7.323 -1.055
6.260 -1.357 -1.245
3.326 -4.721 3.038
3.923 -5.055 -1.282
0.548 -3.625 -1.017
0.000 0.000 0.000
5.663 -1.024 3.076
1.145 -3.959 -5.337
-1.193 -7.656 -5.375
-0.412 -1.549 -3.048
-3.930 -7.388 -4.036
-2.888 -4.606 -0.176
-1.454 -4.331 -6.908
0.950 -5.648 1.288
3.521 -3.032 -3.588
1.150 -6.574 -2.921
3.321 -2.106 0.621
```

***

Record 13
Compound: Pr6NdYTm2
Source: Alexandria via LeMat-Bulk
Functional: GGA-PBE
Structure: optimized geometry

## Properties
volume	34.853	A^3/atom
ΔH_f (0 K)	0.111	eV/atom

POSCAR file:
```
Pr6NdYTm2
1.0
-4.939 -2.842 7.978
-6.600 -2.253 -5.695
6.674 -5.921 1.216
Nd Pr Tm Y
2 12 4 2
Cartesian
0.030 -5.137 0.394
-4.896 -5.880 3.105
-7.012 -3.948 0.224
2.146 -7.069 3.275
-0.323 -9.135 5.221
-8.939 -6.110 2.778
-5.155 -5.697 -2.570
-2.909 -6.170 5.956
0.289 -5.320 6.068
4.074 -4.907 0.721
-1.611 -7.045 2.998
-3.254 -3.972 0.501
-4.542 -1.881 -1.722
-1.956 -4.846 -2.457
-4.011 -9.064 4.557
-2.827 -7.288 -0.101
-2.039 -3.729 3.600
-0.854 -1.953 -1.058
-7.452 -3.070 -3.501
2.587 -7.947 7.000
```

***

Record 14
Compound: Pr3NdYTm
Source: Alexandria via LeMat-Bulk
Functional: GGA-PBE
Structure: optimized geometry

## Properties
volume	34.341	A^3/atom
ΔH_f (0 K)	0.018	eV/atom

POSCAR file:
```
Pr3NdYTm
1.0
-0.881 -5.093 0.016
6.813 1.431 -4.293
5.595 -0.941 8.566
Pr Tm Nd Y
6 2 2 2
Cartesian
6.309 -1.076 5.004
7.063 -1.218 1.419
4.464 -3.386 2.870
5.217 -3.528 -0.714
9.857 -1.687 5.697
1.670 -2.916 -1.407
10.554 -1.819 2.149
0.973 -2.784 2.140
0.000 0.000 0.000
2.797 -0.471 4.283
3.496 -0.603 0.731
8.031 -4.001 3.558
```

***

Record 15
Compound: Pr6Nd3Y2Tm
Source: Alexandria via LeMat-Bulk
Functional: GGA-PBE
Structure: optimized geometry

## Properties
volume	34.737	A^3/atom
ΔH_f (0 K)	0.013	eV/atom

POSCAR file:
```
Pr6Nd3Y2Tm
1.0
6.369 -0.003 0.011
-3.185 5.515 0.011
-1.081 -1.872 11.864
Pr Nd Y Tm
6 3 2 1
Cartesian
-0.020 -0.035 8.950
3.163 1.815 8.962
-0.009 3.647 8.962
-1.061 1.825 2.924
2.111 -0.007 2.924
2.123 3.675 2.935
-2.135 3.660 5.943
4.237 -0.020 5.943
1.051 1.820 5.943
-0.001 3.676 0.011
3.185 1.836 0.011
0.000 0.000 0.000
```

***

Record 16
Compound: PrNdY2Tm2
Source: Alexandria via LeMat-Bulk
Functional: GGA-PBE
Structure: optimized geometry

## Properties
volume	33.666	A^3/atom
ΔH_f (0 K)	0.271	eV/atom

POSCAR file:
```
PrNdY2Tm2
1.0
-1.603 1.963 -2.310
-0.269 -5.077 -4.129
-15.881 -4.803 6.940
Pr Y Nd Tm
2 4 2 4
Cartesian
-8.876 -3.958 0.250
0.000 0.000 0.000
-5.824 -1.928 -0.143
-12.947 -5.023 4.717
-11.929 -5.989 0.643
-3.202 -4.858 -1.906
-7.940 -2.402 3.470
-0.936 -1.557 -3.220
-6.595 -4.665 -1.933
-11.158 -3.252 2.434
-13.718 -7.748 2.935
-2.432 -2.132 -0.124
```

***

Record 17
Compound: PrNd5Y2Tm
Source: Alexandria via LeMat-Bulk
Functional: GGA-PBE
Structure: optimized geometry

## Properties
volume	34.793	A^3/atom
ΔH_f (0 K)	0.144	eV/atom

POSCAR file:
```
PrNd5Y2Tm
1.0
5.743 0.000 0.000
-2.872 10.228 0.000
0.000 0.000 10.661
Nd Tm Y Pr
10 2 4 2
Cartesian
0.000 7.899 0.237
2.872 0.395 2.582
0.000 5.725 3.354
2.872 2.329 5.568
0.000 9.833 7.912
0.000 6.077 7.538
2.872 4.503 8.684
2.872 4.152 2.207
2.872 9.864 5.545
0.000 0.364 0.214
2.872 6.145 5.451
0.000 4.084 0.121
0.000 2.370 3.389
2.872 7.893 2.484
2.872 7.858 8.720
0.000 2.336 7.814
2.872 1.804 10.188
0.000 8.424 4.857
```

***

Record 18
Compound: Pr2NdY6Tm
Source: Alexandria via LeMat-Bulk
Functional: GGA-PBE
Structure: optimized geometry

## Properties
volume	33.429	A^3/atom
ΔH_f (0 K)	0.111	eV/atom

POSCAR file:
```
Pr2NdY6Tm
1.0
9.325 -2.166 -2.248
0.712 8.564 -1.985
0.712 -2.301 8.485
Y Pr Nd Tm
12 4 2 2
Cartesian
9.601 4.887 -1.663
5.811 4.857 -1.695
2.161 4.458 -1.411
1.940 4.629 2.512
3.926 6.755 0.973
8.809 -0.532 1.740
6.823 -2.658 3.279
6.602 1.255 3.594
4.147 2.842 0.657
4.938 -0.760 5.947
1.148 -0.790 5.915
8.588 -0.361 5.662
0.768 1.969 0.969
9.981 2.128 3.283
5.319 4.285 3.373
5.430 -0.188 0.879
7.706 -3.736 6.616
3.043 7.833 -2.364
7.706 2.521 0.586
3.043 1.576 3.665
```